Record 1
The following is a DFT calculation (PBE) of an optimized crystal structure of LiZrIrO6.

a = 5.3302 Å, b = 5.3302 Å, c = 9.0629 Å
α = 90.00°, β = 90.00°, γ = 120.00°
Closest atoms and distances in Å follow each position.
Fractional coordinates of all 18 atoms:
O 0.6558 0.6291 0.1320  1 Ir 1.93, 1 Zr 2.12
O 0.3709 0.3442 0.3680  1 Ir 1.93, 1 Zr 2.12
O 0.3442 0.9733 0.6320  1 Ir 1.93, 1 Zr 2.12
O 0.6291 0.6558 0.6320  1 Ir 1.93, 1 Zr 2.12
O 0.3709 0.0267 0.1320  1 Ir 1.93, 1 Zr 2.12
O 0.9733 0.3442 0.1320  1 Ir 1.93, 1 Zr 2.12
O 0.6558 0.0267 0.3680  1 Ir 1.93, 1 Zr 2.12
O 0.9733 0.6291 0.3680  1 Ir 1.93, 1 Zr 2.12
O 0.0267 0.3709 0.6320  1 Ir 1.93, 1 Zr 2.12
O 0.3442 0.3709 0.8680  1 Ir 1.93, 1 Zr 2.12
O 0.0267 0.6558 0.8680  1 Ir 1.93, 1 Zr 2.12
O 0.6291 0.9733 0.8680  1 Ir 1.93, 1 Zr 2.12
Ir 0.3333 0.6667 0.7500  6 O 1.93
Ir 0.6667 0.3333 0.2500  6 O 1.93
Li 0.0000 0.0000 0.5000  6 O 2.25
Li 0.0000 0.0000 0.0000  6 O 2.25
Zr 0.6667 0.3333 0.7500  6 O 2.12
Zr 0.3333 0.6667 0.2500  6 O 2.12

Calculated values
- ΔE_f (raw) (meV/atom) = -1552
- space group = P-31c, No. 163
- Fermi-level density of states (states/eV/cell) = 9.38
- total magnetization (μB per atom) = 0.20
- total DFT energy (no corrections) (eV/atom) = -7.005



Record 2
The following is a DFT calculation (PBE) of an optimized crystal structure of Li2ZrIrO.

a = 3.9079 Å, b = 3.9079 Å, c = 4.4004 Å
α = 90.00°, β = 90.00°, γ = 90.00°
Closest atoms and distances in Å follow each position.
Fractional coordinates of all 5 atoms:
Li 0.5000 0.0000 0.0000  2 O 1.95
Li 0.0000 0.5000 0.0000  2 O 1.95
Zr 0.0000 0.0000 0.5000  2 O 2.20
Ir 0.5000 0.5000 0.5000  4 Zr 2.76, 8 Li 2.94
O 0.0000 0.0000 0.0000  4 Li 1.95

Calculated values
- ΔE_f (raw) (meV/atom) = -1208
- space group = P4/mmm, No. 123
- Fermi-level density of states (states/eV/cell) = 2.34
- total magnetization (μB per atom) = 0.00
- total DFT energy (no corrections) (eV/atom) = -6.447



Record 3
The following is a DFT calculation (PBE) of an optimized crystal structure of LiIrOs2.

a = 2.6691 Å, b = 2.6691 Å, c = 9.1774 Å
α = 90.00°, β = 90.00°, γ = 117.83°
Closest atoms and distances in Å follow each position.
Fractional coordinates of all 4 atoms:
Os 0.5000 0.5000 0.2484  8 Os 2.66-2.76, 2 Ir 2.73
Os 0.0000 0.0000 0.0006  8 Os 2.66-2.76, 2 Li 2.71
Li 0.5000 0.5000 0.7461  2 Ir 2.61, 6 Li 2.67-2.76, 2 Os 2.71
Ir 0.0000 0.0000 0.5048  2 Li 2.61, 6 Ir 2.67-2.76, 2 Os 2.73

Calculated values
- space group = Cmm2, No. 35
- Fermi-level density of states (states/eV/cell) = 5.07
- total magnetization (μB per atom) = 0.00
- total DFT energy (no corrections) (eV/atom) = -7.949
- calculated formation energy (eV/atom) = 0.360



Record 4
The following is a DFT calculation (PBE) of an optimized crystal structure of LiIr2Os.

a = 4.7145 Å, b = 4.7145 Å, c = 4.7145 Å
α = 133.11°, β = 133.11°, γ = 68.48°
Closest atoms and distances in Å follow each position.
Fractional coordinates of all 4 atoms:
Li 0.5000 0.5000 0.0000  8 Ir 2.65-2.70, 4 Os 2.70
Ir 0.2500 0.7500 0.5000  4 Os 2.65, 4 Li 2.70, 4 Ir 2.70
Ir 0.0000 0.0000 0.0000  4 Li 2.65, 4 Os 2.70, 4 Ir 2.70
Os 0.7500 0.2500 0.5000  8 Ir 2.65-2.70, 4 Li 2.70

Calculated values
- space group = I-4m2, No. 119
- Fermi-level density of states (states/eV/cell) = 4.59
- total magnetization (μB per atom) = 0.00
- total DFT energy (no corrections) (eV/atom) = -7.630
- calculated formation energy (eV/atom) = 0.086